# 1
Here is AlZn2Re after structural relaxation from the Alexandria database. Energies are from GGA-PBE.

## Properties
The value obtained for the formation energy is 0.158 eV/atom.

Structure (CIF):
```
data_AlZn2Re
_chemical_formula_sum 'Al1 Zn2 Re1'
_symmetry_space_group_name_H-M 'P 1'
_symmetry_Int_Tables_number 1
_symmetry_space_group_name_Hall 'P 1'
_cell_length_a 2.7363
_cell_length_b 4.0833
_cell_length_c 5.2580
_cell_angle_alpha 90.00
_cell_angle_beta 90.00
_cell_angle_gamma 90.00
loop_
_atom_site_label
_atom_site_fract_x
_atom_site_fract_y
_atom_site_fract_z
_atom_site_occupancy
Al1 0.0000 0.0000 0.0000 1
Zn1 0.5000 0.5000 0.2570 1
Zn2 0.5000 0.5000 0.7430 1
Re1 0.0000 0.0000 0.5000 1
```

=====

# 2
Here is Ho8In5H after structural relaxation from the Alexandria database. Energies are from GGA-PBE.

Structure (CIF):
```
data_Ho8In5H
_chemical_formula_sum 'Ho8 In5 H1'
_symmetry_space_group_name_H-M 'P 1'
_symmetry_Int_Tables_number 1
_symmetry_space_group_name_Hall 'P 1'
_cell_length_a 7.9104
_cell_length_b 7.9104
_cell_length_c 7.9104
_cell_angle_alpha 113.24
_cell_angle_beta 113.24
_cell_angle_gamma 102.18
loop_
_atom_site_label
_atom_site_fract_x
_atom_site_fract_y
_atom_site_fract_z
_atom_site_occupancy
Ho1 0.2154 0.4497 0.6835 1
Ho2 0.3139 0.2100 0.2666 1
Ho3 0.4681 0.7846 0.2343 1
Ho4 0.5503 0.2338 0.7657 1
Ho5 0.7662 0.5319 0.3165 1
Ho6 0.7900 0.0565 0.1039 1
Ho7 0.9435 0.0474 0.7334 1
Ho8 0.9526 0.6861 0.8961 1
In1 0.0761 0.4641 0.1629 1
In2 0.0868 0.9239 0.3880 1
In3 0.3012 0.9132 0.8371 1
In4 0.5359 0.6988 0.6120 1
In5 0.7500 0.2500 0.5000 1
H1 0.5000 0.5000 0.0000 1
```

=====

# 3
Here is Mg8In5Hg after structural relaxation from the Alexandria database. Energies are from GGA-PBE.

## Properties
The value obtained for the formation energy is -0.048 eV/atom.

Structure (CIF):
```
data_Mg8In5Hg
_chemical_formula_sum 'Mg8 In5 Hg1'
_symmetry_space_group_name_H-M 'P 1'
_symmetry_Int_Tables_number 1
_symmetry_space_group_name_Hall 'P 1'
_cell_length_a 7.6199
_cell_length_b 7.6199
_cell_length_c 7.6199
_cell_angle_alpha 111.61
_cell_angle_beta 111.61
_cell_angle_gamma 105.27
loop_
_atom_site_label
_atom_site_fract_x
_atom_site_fract_y
_atom_site_fract_z
_atom_site_occupancy
Mg1 0.0827 0.6698 0.7524 1
Mg2 0.1619 0.2712 0.7451 1
Mg3 0.3302 0.0826 0.4129 1
Mg4 0.5260 0.4168 0.2549 1
Mg5 0.5832 0.8381 0.1092 1
Mg6 0.6697 0.9173 0.5871 1
Mg7 0.7288 0.4740 0.8908 1
Mg8 0.9174 0.3303 0.2476 1
In1 0.0000 0.0000 0.0000 1
In2 0.2101 0.5979 0.1617 1
In3 0.4021 0.5638 0.6122 1
In4 0.4362 0.0484 0.8383 1
In5 0.9516 0.7899 0.3878 1
Hg1 0.7500 0.2500 0.5000 1
```

=====

# 4
Here is Na3Au after structural relaxation from the Alexandria database. Energies are from GGA-PBE.

## Properties
The value obtained for the formation energy is -0.179 eV/atom.

Structure (CIF):
```
data_Na3Au
_chemical_formula_sum 'Na6 Au2'
_symmetry_space_group_name_H-M 'P 1'
_symmetry_Int_Tables_number 1
_symmetry_space_group_name_Hall 'P 1'
_cell_length_a 6.6975
_cell_length_b 6.6975
_cell_length_c 5.2584
_cell_angle_alpha 90.00
_cell_angle_beta 90.00
_cell_angle_gamma 120.00
loop_
_atom_site_label
_atom_site_fract_x
_atom_site_fract_y
_atom_site_fract_z
_atom_site_occupancy
Na1 0.1773 0.3546 0.2500 1
Na2 0.1773 0.8227 0.2500 1
Na3 0.3546 0.1773 0.7500 1
Na4 0.6454 0.8227 0.2500 1
Na5 0.8227 0.1773 0.7500 1
Na6 0.8227 0.6454 0.7500 1
Au1 0.3333 0.6667 0.7500 1
Au2 0.6667 0.3333 0.2500 1
```

=====

# 5
Here is Hf2RuSe after structural relaxation from the Alexandria database. Energies are from GGA-PBE.

## Properties
Its formation energy from raw total energies is 1.71 kJ per mole of atoms.

Structure (CIF):
```
data_Hf2RuSe
_chemical_formula_sum 'Hf4 Ru2 Se2'
_symmetry_space_group_name_H-M 'P 1'
_symmetry_Int_Tables_number 1
_symmetry_space_group_name_Hall 'P 1'
_cell_length_a 7.2021
_cell_length_b 7.2021
_cell_length_c 7.2021
_cell_angle_alpha 130.17
_cell_angle_beta 130.17
_cell_angle_gamma 73.14
loop_
_atom_site_label
_atom_site_fract_x
_atom_site_fract_y
_atom_site_fract_z
_atom_site_occupancy
Hf1 0.0956 0.6250 0.9706 1
Hf2 0.3750 0.3456 0.4706 1
Hf3 0.6544 0.1250 0.0294 1
Hf4 0.8750 0.9044 0.5294 1
Ru1 0.0000 0.0000 0.0000 1
Ru2 0.7500 0.2500 0.5000 1
Se1 0.2500 0.7500 0.5000 1
Se2 0.5000 0.5000 0.0000 1
```

=====

# 6
Here is Ca2ScMo after structural relaxation from the Alexandria database. Energies are from GGA-PBE.

## Properties
The value obtained for the formation energy is 0.609 eV/atom.

Structure (CIF):
```
data_Ca2ScMo
_chemical_formula_sum 'Ca2 Sc1 Mo1'
_symmetry_space_group_name_H-M 'P 1'
_symmetry_Int_Tables_number 1
_symmetry_space_group_name_Hall 'P 1'
_cell_length_a 5.3234
_cell_length_b 5.3234
_cell_length_c 5.3234
_cell_angle_alpha 123.70
_cell_angle_beta 123.70
_cell_angle_gamma 83.70
loop_
_atom_site_label
_atom_site_fract_x
_atom_site_fract_y
_atom_site_fract_z
_atom_site_occupancy
Ca1 0.0000 0.0000 0.0000 1
Ca2 0.7500 0.2500 0.5000 1
Sc1 0.5000 0.5000 0.0000 1
Mo1 0.2500 0.7500 0.5000 1
```

=====

# 7
Here is Ca2YW2 after structural relaxation from the Alexandria database. Energies are from GGA-PBE.

## Properties
The value obtained for the formation energy is 0.984 eV/atom.

Structure (CIF):
```
data_Ca2YW2
_chemical_formula_sum 'Ca2 Y1 W2'
_symmetry_space_group_name_H-M 'P 1'
_symmetry_Int_Tables_number 1
_symmetry_space_group_name_Hall 'P 1'
_cell_length_a 7.5593
_cell_length_b 7.5593
_cell_length_c 7.5593
_cell_angle_alpha 146.18
_cell_angle_beta 146.18
_cell_angle_gamma 48.58
loop_
_atom_site_label
_atom_site_fract_x
_atom_site_fract_y
_atom_site_fract_z
_atom_site_occupancy
Ca1 0.2500 0.7500 0.5000 1
Ca2 0.7500 0.2500 0.5000 1
Y1 0.0000 0.0000 0.0000 1
W1 0.4177 0.4177 0.0000 1
W2 0.5823 0.5823 0.0000 1
```

=====

# 8
Here is MnZn2Rh2 after structural relaxation from the Alexandria database. Energies are from GGA-PBE.

## Properties
The value obtained for the formation energy is -0.156 eV/atom.

Structure (CIF):
```
data_MnZn2Rh2
_chemical_formula_sum 'Mn2 Zn4 Rh4'
_symmetry_space_group_name_H-M 'P 1'
_symmetry_Int_Tables_number 1
_symmetry_space_group_name_Hall 'P 1'
_cell_length_a 6.9121
_cell_length_b 6.9121
_cell_length_c 3.1464
_cell_angle_alpha 90.00
_cell_angle_beta 90.00
_cell_angle_gamma 90.00
loop_
_atom_site_label
_atom_site_fract_x
_atom_site_fract_y
_atom_site_fract_z
_atom_site_occupancy
Mn1 0.0000 0.0000 0.0000 1
Mn2 0.5000 0.5000 0.0000 1
Zn1 0.1557 0.3443 0.5000 1
Zn2 0.3443 0.8443 0.5000 1
Zn3 0.6557 0.1557 0.5000 1
Zn4 0.8443 0.6557 0.5000 1
Rh1 0.1433 0.6433 0.0000 1
Rh2 0.3567 0.1433 0.0000 1
Rh3 0.6433 0.8567 0.0000 1
Rh4 0.8567 0.3567 0.0000 1
```

=====

Number 1: energy -18.1 eV per cell, DOS(E_F) 1.74 states/eV/cell. Number 2: energy -57.4 eV per cell, DOS(E_F) 13.05 states/eV/cell. Number 3: energy -27.4 eV per cell, DOS(E_F) 6.72 states/eV/cell. Number 4: energy -15.9 eV per cell, DOS(E_F) 2.65 states/eV/cell. Number 5: energy -65.2 eV per cell, DOS(E_F) 4.78 states/eV/cell. Number 6: energy -18.7 eV per cell, DOS(E_F) 4.78 states/eV/cell. Number 7: energy -31.5 eV per cell, DOS(E_F) 8.02 states/eV/cell. Number 8: energy -54.4 eV per cell, DOS(E_F) 4.55 states/eV/cell.